Below is P2OsCl after structural relaxation, with properties calculated at the PBE-GGA level.

Space group: F-43m (216)
Formation energy from raw total energies (eV/atom): 0.9273
DFT total energy (eV/cell): -20.2
Total magnetic moment (μB per formula unit): 0.0
Energy above the most stable polymorph in this dataset (meV per atom): 954

abc: 4.341 4.341 4.341
angles: 60.00 60.00 60.00
Fractional coordinates of all 4 atoms:
P 0.000 0.000 0.000
P 0.250 0.250 0.250
Cl 0.500 0.500 0.500
Os 0.750 0.750 0.750